Entry 1:
VASP calculation (PBE) on K2TlZnGa after structural relaxation.

The space group is P4/mmm (No. 123) and the conventional cell measures 6.6985, 6.6985 and 5.1908 Å, with angles of 90.00, 90.00 and 90.00 degrees. The asymmetric unit holds K at (0.0000, 0.5000, 0.0000), Tl at (0.0000, 0.0000, 0.5000), Zn at (0.5000, 0.5000, 0.5000) and Ga at (0.0000, 0.0000, 0.0000).

The calculation puts the formation energy at 214.4 meV per atom. The density is 2.98 Mg/m³.

---

Entry 2:
VASP calculation (PBE) on PmNdPN after structural relaxation.

The space group is R-3m (No. 166, hexagonal axes) and the conventional cell measures 3.9919, 3.9919 and 40.9906 Å, with angles of 90.00, 90.00 and 120.00 degrees. The asymmetric unit holds Pm at (0.0000, 0.0000, 0.2074), Nd at (0.0000, 0.0000, 0.3800), P at (0.0000, 0.0000, 0.0000), P at (0.0000, 0.0000, 0.5000) and N at (0.0000, 0.0000, 0.2609).

Its formation energy (no corrections) is -1.123 eV/atom. The density is 5.89 Mg/m³.

---

Q: Among the records above, which one has the lowest density?
A: K2TlZnGa

---

What did the second record say?
VASP calculation (PBE) on PmNdPN after structural relaxation.

The space group is R-3m (No. 166, hexagonal axes) and the conventional cell measures 3.9919, 3.9919 and 40.9906 Å, with angles of 90.00, 90.00 and 120.00 degrees. The asymmetric unit holds Pm at (0.0000, 0.0000, 0.2074), Nd at (0.0000, 0.0000, 0.3800), P at (0.0000, 0.0000, 0.0000), P at (0.0000, 0.0000, 0.5000) and N at (0.0000, 0.0000, 0.2609).

Its formation energy (no corrections) is -1.123 eV/atom. The density is 5.89 Mg/m³.